1.
The following is a PBE-GGA calculation of a relaxed structure of Pm2AgAsO6, from Alexandria via LeMat-Bulk.

Lattice parameters (Å, degrees): 5.381 5.381 5.107 90.00 90.00 90.00
Space group P4mm (No. 99)
Inequivalent atoms, fractional coordinates:
Pm 0.000 0.500 0.000 (multiplicity 2)
Ag 0.000 0.000 0.493 (multiplicity 1)
As 0.500 0.500 0.617 (multiplicity 1)
O 0.000 0.000 0.081 (multiplicity 1)
O 0.274 0.274 0.735 (multiplicity 4)
O 0.500 0.500 0.272 (multiplicity 1)

Output
E = -6.69 eV per atom

***

2.
The following is a PBE-GGA calculation of a relaxed structure of Pm2Ag2AsO6, from Alexandria via LeMat-Bulk.

Lattice parameters (Å, degrees): 5.943 10.541 6.394 90.00 99.33 90.00
Space group C2/m (No. 12)
Inequivalent atoms, fractional coordinates:
Pm 0.000 0.162 0.000 (multiplicity 4)
Ag 0.000 0.351 0.500 (multiplicity 4)
As 0.000 0.500 0.000 (multiplicity 2)
O 0.110 0.351 0.829 (multiplicity 8)
O 0.184 0.000 0.849 (multiplicity 4)

Output
E = -6.24 eV per atom

***

3.
The following is a PBE-GGA calculation of a relaxed structure of AgAs2PtO6, from Alexandria via LeMat-Bulk.

Lattice parameters (Å, degrees): 9.625 9.144 6.611 90.00 107.16 90.00
Space group C2/c (No. 15)
Inequivalent atoms, fractional coordinates:
Ag 0.000 0.089 0.250 (multiplicity 4)
As 0.186 0.382 0.293 (multiplicity 8)
Pt 0.000 0.289 0.750 (multiplicity 4)
O 0.085 0.273 0.071 (multiplicity 8)
O 0.127 0.116 0.716 (multiplicity 8)
O 0.148 0.433 0.703 (multiplicity 8)

Output
E = -5.49 eV per atom

***

4.
The following is a PBE-GGA calculation of a relaxed structure of AgAs2PtO8, from Alexandria via LeMat-Bulk.

Lattice parameters (Å, degrees): 4.9257 4.9257 7.7716 90.00 90.00 120.00
Space group P-3 (No. 147)
Inequivalent atoms, fractional coordinates:
Ag 0.0000 0.0000 0.0000 (multiplicity 1)
As 0.3333 0.6667 0.7282 (multiplicity 2)
Pt 0.0000 0.0000 0.5000 (multiplicity 1)
O 0.0024 0.3215 0.6577 (multiplicity 6)
O 0.3333 0.6667 0.9456 (multiplicity 2)

Output
E = -5.49 eV per atom

***

Please write out number 2 again, unchanged.
The following is a PBE-GGA calculation of a relaxed structure of Pm2Ag2AsO6, from Alexandria via LeMat-Bulk.

Lattice parameters (Å, degrees): 5.943 10.541 6.394 90.00 99.33 90.00
Space group C2/m (No. 12)
Inequivalent atoms, fractional coordinates:
Pm 0.000 0.162 0.000 (multiplicity 4)
Ag 0.000 0.351 0.500 (multiplicity 4)
As 0.000 0.500 0.000 (multiplicity 2)
O 0.110 0.351 0.829 (multiplicity 8)
O 0.184 0.000 0.849 (multiplicity 4)

Output
E = -6.24 eV per atom